(1)
A geometry-optimized LiTbAsAu structure. Source: the Alexandria database, functional PBE.

```
LiTbAsAu
1.0
0.000 3.455 3.455
3.455 0.000 3.455
3.455 3.455 0.000
Li Tb As Au
1 1 1 1
Cartesian
0.000 0.000 0.000 Li
3.455 3.455 3.455 Tb
1.727 1.727 1.727 As
5.182 5.182 5.182 Au
```

Output
Volume = 20.62 A^3/atom
Crystal system = cubic
DOS at the Fermi energy = 0.189 states/eV/atom
Energy = -17.84 eV/cell
ΔE_f = -842 meV per atom

***

(2)
A geometry-optimized MgZnCd2 structure. Source: the Alexandria database, functional PBE.

```
MgZnCd2
1.0
4.837 -1.616 0.000
4.837 1.616 0.000
-0.881 0.000 5.249
Mg Zn Cd
1 1 2
Cartesian
0.000 0.000 0.000 Mg
1.807 0.000 4.019 Zn
4.461 0.000 2.741 Cd
7.054 0.000 1.330 Cd
```

Output
Relative energy among the computed polymorphs = 3.3 meV/atom
Volume = 20.51 A^3/atom
Crystal system = monoclinic
DOS at the Fermi energy = 0.359 states/eV/atom
Energy = -4.77 eV/cell
ΔE_f = -18 meV per atom

***

(3)
A geometry-optimized Ac2Al9Cu3 structure. Source: the Alexandria database, functional PBE.

```
Ac2Al9Cu3
1.0
6.712 -3.837 0.000
6.712 3.837 0.000
-4.564 0.000 10.443
Ac Al Cu
4 18 6
Cartesian
1.109 0.645 2.593 Ac
-1.173 -0.645 7.815 Ac
10.033 0.645 2.629 Ac
7.751 -0.645 7.850 Ac
5.577 3.124 0.650 Al
5.566 3.124 4.572 Al
1.143 0.606 5.851 Al
4.246 1.394 2.630 Al
1.080 0.611 9.920 Al
3.425 -0.606 0.630 Al
3.289 0.898 7.832 Al
6.897 1.394 2.592 Al
3.362 -0.611 4.699 Al
5.499 0.611 5.744 Al
1.964 -1.394 7.851 Al
5.571 -0.898 2.611 Al
5.436 0.606 9.814 Al
7.781 -0.611 0.523 Al
4.615 -1.394 7.814 Al
7.718 -0.606 4.592 Al
3.295 -3.124 5.872 Al
3.284 -3.124 9.793 Al
3.356 1.919 0.000 Cu
3.290 1.963 5.210 Cu
7.853 1.963 0.012 Cu
1.074 -1.919 5.222 Cu
1.008 -1.963 10.431 Cu
5.571 -1.963 5.233 Cu
```

Output
Volume = 19.21 A^3/atom
Crystal system = monoclinic
DOS at the Fermi energy = 0.455 states/eV/atom
Energy = -114.49 eV/cell
ΔE_f = -218 meV per atom

***

(4)
A geometry-optimized CeEuHg4 structure. Source: the Alexandria database, functional PBE.

```
CeEuHg4
1.0
0.000 4.303 4.303
4.303 0.000 4.303
4.303 4.303 0.000
Ce Eu Hg
1 1 4
Cartesian
0.000 0.000 0.000 Ce
6.455 6.455 6.455 Eu
3.226 3.226 3.226 Hg
5.381 5.381 3.226 Hg
5.381 3.226 5.381 Hg
3.226 5.381 5.381 Hg
```

Output
Volume = 26.57 A^3/atom
Crystal system = cubic
DOS at the Fermi energy = 1.907 states/eV/atom
Energy = -18.87 eV/cell
ΔE_f = -243 meV per atom

***

(5)
A geometry-optimized Tb3Y2Ag2 structure. Source: the Alexandria database, functional PBE.

```
Tb3Y2Ag2
1.0
2.407 -11.580 0.000
2.407 11.580 0.000
0.000 0.000 3.425
Tb Y Ag
3 2 2
Cartesian
0.000 0.000 0.000 Tb
2.407 8.382 0.000 Tb
2.407 -8.382 0.000 Tb
2.407 4.815 1.713 Y
2.407 -4.815 1.713 Y
2.407 1.606 1.713 Ag
2.407 -1.606 1.713 Ag
```

Output
Relative energy among the computed polymorphs = 204.1 meV/atom
Volume = 27.28 A^3/atom
Crystal system = orthorhombic
DOS at the Fermi energy = 1.266 states/eV/atom
Energy = -32.11 eV/cell
ΔE_f = 59 meV per atom

***

(6)
A geometry-optimized Ac12Tl3C5 structure. Source: the Alexandria database, functional PBE.

```
Ac12Tl3C5
1.0
-8.808 8.808 8.808
8.808 -8.808 8.808
8.808 8.808 -8.808
Ac Tl C
48 12 20
Cartesian
2.619 -0.596 0.909 Ac
10.593 5.314 -5.000 Ac
11.428 0.596 0.909 Ac
10.593 -3.495 5.000 Ac
8.212 -0.909 2.619 Ac
13.809 -1.785 3.495 Ac
0.909 2.619 -0.596 Ac
12.303 3.808 -1.785 Ac
5.314 5.000 -1.785 Ac
7.899 2.619 0.596 Ac
-0.596 0.909 2.619 Ac
5.000 -1.785 5.314 Ac
8.212 7.899 -2.619 Ac
5.000 1.785 3.495 Ac
5.314 -5.000 10.593 Ac
7.899 -2.619 8.212 Ac
3.495 5.000 1.785 Ac
9.718 6.189 0.596 Ac
5.000 10.593 -3.495 Ac
8.212 0.909 6.189 Ac
2.619 8.212 -0.909 Ac
10.593 3.495 3.808 Ac
1.785 3.495 5.000 Ac
2.619 0.596 7.899 Ac
6.189 8.212 0.909 Ac
7.023 5.314 3.808 Ac
-1.785 5.314 5.000 Ac
6.189 0.596 9.718 Ac
0.596 7.899 2.619 Ac
3.808 -1.785 12.303 Ac
-0.909 2.619 8.212 Ac
5.314 3.808 7.023 Ac
0.909 11.428 0.596 Ac
3.495 13.809 -1.785 Ac
3.808 7.023 5.314 Ac
0.596 0.909 11.428 Ac
3.808 10.593 3.495 Ac
9.404 7.899 6.189 Ac
0.909 6.189 8.212 Ac
3.495 3.808 10.593 Ac
-3.495 5.000 10.593 Ac
7.899 6.189 9.404 Ac
-5.000 10.593 5.314 Ac
0.596 9.718 6.189 Ac
-1.785 12.303 3.808 Ac
-2.619 8.212 7.899 Ac
-1.785 3.495 13.809 Ac
6.189 9.404 7.899 Ac
4.404 2.202 0.000 Tl
8.808 4.404 -2.202 Tl
2.202 0.000 4.404 Tl
11.010 0.000 4.404 Tl
0.000 4.404 2.202 Tl
4.404 -2.202 8.808 Tl
4.404 11.010 0.000 Tl
8.808 4.404 6.606 Tl
-2.202 8.808 4.404 Tl
6.606 8.808 4.404 Tl
0.000 4.404 11.010 Tl
4.404 6.606 8.808 Tl
0.000 0.000 0.000 C
4.404 4.404 -4.404 C
4.404 -4.404 4.404 C
8.808 0.000 0.000 C
13.213 2.202 0.000 C
8.808 -4.404 6.606 C
6.606 8.808 -4.404 C
6.606 0.000 4.404 C
4.404 6.606 0.000 C
8.808 4.404 2.202 C
-4.404 4.404 4.404 C
0.000 8.808 0.000 C
0.000 0.000 8.808 C
4.404 4.404 4.404 C
0.000 4.404 6.606 C
4.404 2.202 8.808 C
2.202 8.808 4.404 C
2.202 0.000 13.213 C
0.000 13.213 2.202 C
-4.404 6.606 8.808 C
```

Output
Volume = 34.17 A^3/atom
Crystal system = cubic
DOS at the Fermi energy = 0.547 states/eV/atom
Energy = -403.54 eV/cell
ΔE_f = 82 meV per atom

***

(7)
A geometry-optimized LiTlFe2 structure. Source: the Alexandria database, functional PBE.

```
LiTlFe2
1.0
3.686 0.000 0.000
0.000 3.701 0.000
0.000 0.000 4.299
Li Tl Fe
1 1 2
Cartesian
0.000 0.000 0.000 Li
1.843 1.850 0.000 Tl
0.000 1.850 2.149 Fe
1.843 0.000 2.149 Fe
```

Output
Volume = 14.66 A^3/atom
Crystal system = orthorhombic
DOS at the Fermi energy = 0.441 states/eV/atom
Energy = -20.05 eV/cell
ΔE_f = 288 meV per atom

***

(8)
A geometry-optimized Cs2PrMnS4 structure. Source: the Alexandria database, functional PBE.

```
Cs2PrMnS4
1.0
5.747 -5.816 0.000
5.747 5.816 0.000
-3.697 0.000 7.680
Cs Pr Mn S
4 2 2 8
Cartesian
0.000 0.000 0.000 Cs
-1.849 0.000 3.840 Cs
2.874 2.908 0.000 Cs
1.025 -2.908 3.840 Cs
5.747 0.000 0.000 Pr
3.899 0.000 3.840 Pr
1.025 2.908 3.840 Mn
2.874 -2.908 0.000 Mn
3.259 2.693 3.273 S
1.232 0.713 4.908 S
6.387 2.693 0.567 S
3.080 -0.713 1.069 S
4.717 0.713 6.611 S
1.410 -2.693 7.113 S
6.566 -0.713 2.771 S
4.539 -2.693 4.407 S
```

Output
Volume = 32.09 A^3/atom
Crystal system = monoclinic
Energy = -82.30 eV/cell
Formation energy from raw total energies = -1.123 eV per atom

***

Look up the volume of the fifth one.
27.28 A^3/atom